Entry from Alexandria: a geometry-optimized LiMnTeO4 structure (PBE+U).

Output
- density of states at the Fermi level (states/eV/f.u.) = 2.281
- total moment (μB per atom) = 0.597
- symmetry = Cmcm, No. 63
- crystal system = orthorhombic
- final energy (eV/atom) = -5.95

extended XYZ file:
```
14
Lattice="3.0246 -4.6821 0.0000 3.0246 4.6821 0.0000 0.0000 0.0000 6.4877" Properties=species:S:1:pos:R:3 pbc="T T T"
Li 3.0246 3.1647 4.8658
Li 3.0246 -3.1647 1.6219
Mn 3.0246 0.0000 0.0000
Mn 3.0246 0.0000 3.2439
Te 3.0246 3.2762 1.6219
Te 3.0246 -3.2762 4.8658
O 1.4878 0.0667 4.8658
O 1.4878 -0.0667 1.6219
O 3.0246 2.1428 0.0583
O 3.0246 2.1428 3.1856
O 3.0246 -2.1428 3.3021
O 3.0246 -2.1428 6.4295
O 4.5614 0.0667 4.8658
O 4.5614 -0.0667 1.6219
```